1.
## NpGeTe3 (PBE)

Data for a relaxed structure of NpGeTe3.

Calculated values
Relative energy among the computed polymorphs   17 meV per atom
Electronic total energy   -57.19 eV per cell
Total moment   6.01 Bohr magnetons per cell
Uncorrected formation energy   -31.1 kJ/mol of atoms
DOS(E_F)   14.02 states/eV/cell

a b c (Å): 4.388 10.994 10.994
angles (deg): 138.48 90.00 90.00
Element x y z (fractional)
Np 0.250 0.170 0.830
Np 0.750 0.830 0.170
Ge 0.250 0.333 0.642
Ge 0.750 0.642 0.333
Te 0.250 0.421 0.243
Te 0.250 0.728 0.914
Te 0.250 0.921 0.420
Te 0.750 0.243 0.421
Te 0.750 0.420 0.921
Te 0.750 0.914 0.728

=====

2.
## YTh2MoC4 (PBE)

Data for a relaxed structure of YTh2MoC4.

Calculated values
Electronic total energy   -138.25 eV per cell
Total moment   0.00 Bohr magnetons per cell
DOS(E_F)   7.46 states/eV/cell
Formation energy   -0.012 eV per atom

a b c (Å): 6.334 6.334 12.926
angles (deg): 90.00 90.00 146.88
Element x y z (fractional)
Y 0.108 0.892 0.750
Y 0.892 0.108 0.250
Th 0.367 0.633 0.539
Th 0.367 0.633 0.961
Th 0.633 0.367 0.039
Th 0.633 0.367 0.461
Mo 0.164 0.836 0.250
Mo 0.836 0.164 0.750
C 0.000 0.000 0.000
C 0.000 0.000 0.500
C 0.267 0.733 0.135
C 0.267 0.733 0.365
C 0.425 0.575 0.750
C 0.575 0.425 0.250
C 0.733 0.267 0.635
C 0.733 0.267 0.865

=====

3.
## Sr2ErPuSe4 (PBE)

Data for a relaxed structure of Sr2ErPuSe4.

Calculated values
Electronic total energy   -50.58 eV per cell
Total moment   6.01 Bohr magnetons per cell
Uncorrected formation energy   -173.5 kJ/mol of atoms
DOS(E_F)   13.10 states/eV/cell

a b c (Å): 7.339 4.229 7.467
angles (deg): 90.00 109.10 90.00
Element x y z (fractional)
Sr 0.000 0.000 0.000
Sr 0.500 0.500 0.000
Er 0.000 0.500 0.500
Pu 0.500 0.000 0.500
Se 0.237 0.000 0.729
Se 0.250 0.500 0.268
Se 0.750 0.500 0.732
Se 0.763 0.000 0.271

=====

4.
## BHPb (PBE)

Data for a relaxed structure of BHPb.

Calculated values
Relative energy among the computed polymorphs   345 meV per atom
Electronic total energy   -48.24 eV per cell
Total moment   0.00 Bohr magnetons per cell
DOS(E_F)   1.15 states/eV/cell

a b c (Å): 7.561 3.175 7.883
angles (deg): 90.00 90.00 90.00
Element x y z (fractional)
B 0.008 0.250 0.001
B 0.492 0.750 0.501
B 0.508 0.250 0.499
B 0.992 0.750 0.999
H 0.087 0.250 0.602
H 0.413 0.750 0.102
H 0.587 0.250 0.898
H 0.913 0.750 0.398
Pb 0.173 0.250 0.354
Pb 0.327 0.750 0.854
Pb 0.673 0.250 0.146
Pb 0.827 0.750 0.646

=====

5.
## YTh2Cd (PBE)

Data for a relaxed structure of YTh2Cd.

Calculated values
Relative energy among the computed polymorphs   39 meV per atom
Electronic total energy   -22.15 eV per cell
Total moment   0.00 Bohr magnetons per cell
DOS(E_F)   4.48 states/eV/cell
Formation energy   0.016 eV per atom

a b c (Å): 3.485 3.485 10.047
angles (deg): 90.00 90.00 90.00
Element x y z (fractional)
Y 0.000 0.000 0.000
Th 0.500 0.500 0.264
Th 0.500 0.500 0.736
Cd 0.000 0.000 0.500

=====

6.
## PuMg2InHg4 (PBE)

Data for a relaxed structure of PuMg2InHg4.

Calculated values
Electronic total energy   -22.60 eV per cell
Total moment   5.83 Bohr magnetons per cell
DOS(E_F)   15.09 states/eV/cell
Formation energy   -0.141 eV per atom

a b c (Å): 9.341 9.341 9.341
angles (deg): 31.19 31.19 31.19
Element x y z (fractional)
Pu 0.000 0.000 0.000
Mg 0.249 0.249 0.249
Mg 0.751 0.751 0.751
In 0.500 0.500 0.500
Hg 0.122 0.122 0.122
Hg 0.379 0.379 0.379
Hg 0.621 0.621 0.621
Hg 0.878 0.878 0.878

=====

7.
## TbGaNiPt3 (PBE)

Data for a relaxed structure of TbGaNiPt3.

Calculated values
Electronic total energy   -70.21 eV per cell
Total moment   0.00 Bohr magnetons per cell
DOS(E_F)   6.11 states/eV/cell
Formation energy   -0.591 eV per atom

a b c (Å): 7.018 7.018 5.683
angles (deg): 90.00 90.00 132.36
Element x y z (fractional)
Tb 0.182 0.818 0.750
Tb 0.818 0.182 0.250
Ga 0.129 0.871 0.250
Ga 0.871 0.129 0.750
Ni 0.378 0.622 0.750
Ni 0.622 0.378 0.250
Pt 0.251 0.251 0.000
Pt 0.251 0.251 0.500
Pt 0.324 0.676 0.250
Pt 0.676 0.324 0.750
Pt 0.749 0.749 0.000
Pt 0.749 0.749 0.500

=====

8.
## NiBiP3 (PBE)

Data for a relaxed structure of NiBiP3.

Calculated values
Relative energy among the computed polymorphs   3 meV per atom
Electronic total energy   -52.58 eV per cell
Total moment   0.00 Bohr magnetons per cell
DOS(E_F)   1.89 states/eV/cell
Formation energy   -0.080 eV per atom

a b c (Å): 15.867 3.222 4.110
angles (deg): 90.00 95.41 90.00
Element x y z (fractional)
Ni 0.000 0.000 0.000
Ni 0.500 0.500 0.000
Bi 0.290 0.000 0.424
Bi 0.790 0.500 0.424
P 0.054 0.000 0.514
P 0.109 0.500 0.821
P 0.403 0.000 0.963
P 0.554 0.500 0.514
P 0.609 0.000 0.821
P 0.903 0.500 0.963

=====

9.
## Nd3Y2Zn2 (PBE)

Data for a relaxed structure of Nd3Y2Zn2.

Calculated values
Relative energy among the computed polymorphs   49 meV per atom
Electronic total energy   -60.84 eV per cell
Total moment   0.00 Bohr magnetons per cell
DOS(E_F)   18.49 states/eV/cell
Formation energy   -0.092 eV per atom

a b c (Å): 3.651 31.125 3.613
angles (deg): 90.00 90.00 90.00
Element x y z (fractional)
Nd 0.000 0.000 0.000
Nd 0.000 0.120 0.000
Nd 0.000 0.880 0.000
Nd 0.500 0.380 0.000
Nd 0.500 0.500 0.000
Nd 0.500 0.620 0.000
Y 0.000 0.298 0.500
Y 0.000 0.702 0.500
Y 0.500 0.202 0.500
Y 0.500 0.798 0.500
Zn 0.000 0.440 0.500
Zn 0.000 0.560 0.500
Zn 0.500 0.060 0.500
Zn 0.500 0.940 0.500

=====

10.
## BaNa2La (PBE)

Data for a relaxed structure of BaNa2La.

Calculated values
Relative energy among the computed polymorphs   15 meV per atom
Electronic total energy   -25.16 eV per cell
Total moment   0.00 Bohr magnetons per cell
DOS(E_F)   13.89 states/eV/cell
Formation energy   0.275 eV per atom

a b c (Å): 3.754 3.754 41.941
angles (deg): 90.00 90.00 120.00
Element x y z (fractional)
Ba 0.000 0.000 0.000
Ba 0.333 0.667 0.667
Ba 0.667 0.333 0.333
Na 0.000 0.000 0.415
Na 0.000 0.000 0.585
Na 0.333 0.667 0.082
Na 0.333 0.667 0.252
Na 0.667 0.333 0.748
Na 0.667 0.333 0.918
La 0.000 0.000 0.500
La 0.333 0.667 0.167
La 0.667 0.333 0.833

=====

11.
## AcAl2Au (PBE)

Data for a relaxed structure of AcAl2Au.

Calculated values
Relative energy among the computed polymorphs   0 meV per atom
Electronic total energy   -51.42 eV per cell
Total moment   0.00 Bohr magnetons per cell
DOS(E_F)   5.66 states/eV/cell
Formation energy   -0.567 eV per atom

a b c (Å): 4.382 4.382 17.606
angles (deg): 90.00 90.00 120.00
Element x y z (fractional)
Ac 0.000 0.000 0.000
Ac 0.333 0.667 0.667
Ac 0.667 0.333 0.333
Al 0.000 0.000 0.207
Al 0.000 0.000 0.793
Al 0.333 0.667 0.459
Al 0.333 0.667 0.874
Al 0.667 0.333 0.126
Al 0.667 0.333 0.541
Au 0.000 0.000 0.500
Au 0.333 0.667 0.167
Au 0.667 0.333 0.833

=====

12.
## K2NdGeO4 (PBE)

Data for a relaxed structure of K2NdGeO4.

Calculated values
Electronic total energy   -93.49 eV per cell
Total moment   1.33 Bohr magnetons per cell
Uncorrected formation energy   -184.9 kJ/mol of atoms
DOS(E_F)   2.74 states/eV/cell

a b c (Å): 6.422 6.422 7.635
angles (deg): 90.00 90.00 90.00
Element x y z (fractional)
K 0.000 0.000 0.000
K 0.000 0.500 0.250
K 0.500 0.000 0.750
K 0.500 0.500 0.500
Nd 0.000 0.500 0.750
Nd 0.500 0.000 0.250
Ge 0.000 0.000 0.500
Ge 0.500 0.500 0.000
O 0.123 0.812 0.641
O 0.188 0.123 0.359
O 0.312 0.377 0.859
O 0.377 0.688 0.141
O 0.623 0.312 0.141
O 0.688 0.623 0.859
O 0.812 0.877 0.359
O 0.877 0.188 0.641